VASP calculation (PBE) on an optimized crystal structure of CsLiGeAs2.

* density of states at the Fermi level: 2.97 states/eV per cell
* crystal system: monoclinic
* calculated formation energy: -1.98 eV per formula unit
* energy: -3.73 eV per atom

a b c (Å): 13.7205 4.1547 10.4151
angles (deg): 90.00 99.09 90.00
Closest atoms and distances in Å follow each position.
Space group C2/m (No. 12)
Inequivalent atoms, fractional coordinates:
1 Cs 0.1461 0.0000 0.1609  6 As 3.65-3.83, 2 Li 3.96
2 Li 0.1857 0.0000 0.5660  4 As 2.54-2.67
3 Ge 0.0571 0.5000 0.6545  4 As 2.48-2.57
4 As 0.1165 0.0000 0.7898  2 Ge 2.57, 1 Li 2.65
5 As 0.1207 0.5000 0.4415  2 Ge 2.48-2.51, 3 Li 2.54-2.67